No. 1
Crystalline K2PuZnO6 at its relaxed geometry. Source: Alexandria, functional PBE.

Cell: 8.2605 8.2605 8.2605 Å, 90.00 90.00 90.00°
With the nearest neighbours (Å) after each atom.
Space group Fm-3m (No. 225)
Symmetry-distinct sites (fractional):
K (0.2500, 0.2500, 0.2500) (multiplicity 8)  12 O 2.92
Pu (0.0000, 0.0000, 0.0000) (multiplicity 4)  6 O 1.99
Zn (0.0000, 0.0000, 0.5000) (multiplicity 4)  6 O 2.14
O (0.0000, 0.0000, 0.2409) (multiplicity 24)  1 Pu 1.99, 1 Zn 2.14

Uncorrected energy (eV/atom): -6.604

***

No. 2
Crystalline YPuTl at its relaxed geometry. Source: Alexandria, functional PBE.

Cell: 5.6938 5.6938 6.0443 Å, 90.00 90.00 120.00°
With the nearest neighbours (Å) after each atom.
Space group P6_3/mmc (No. 194)
Symmetry-distinct sites (fractional):
Y (0.3333, 0.6667, 0.2500) (multiplicity 2)  5 Tl 3.02-3.29, 3 Pu 3.29
Pu (0.0000, 0.0000, 0.2500) (multiplicity 2)  2 Pu 3.02, 3 Tl 3.29, 3 Y 3.29
Tl (0.3333, 0.6667, 0.7500) (multiplicity 2)  5 Y 3.02-3.29, 3 Pu 3.29

Excess energy over the best structure of this formula in the dataset (eV per atom): 0.105
Formation energy from the elements (eV per atom): 0.0660